--- P ---
# PrYErTh, optimized geometry, DFT PBE
# * space group: R3m, No. 160
# * density: 8.0 g/cm3
data_PrYErTh
_cell_length_a 3.607
_cell_length_b 3.606
_cell_length_c 11.801
_cell_angle_alpha 90.00
_cell_angle_beta 98.80
_cell_angle_gamma 119.99
_space_group_name_H-M_alt 'P 1'
_space_group_IT_number 1
_space_group_name_Hall 'P 1'
loop_
_atom_site_label
_atom_site_type_symbol
_atom_site_fract_x
_atom_site_fract_y
_atom_site_fract_z
Y1 Y 0.130 0.963 0.108
Er1 Er 0.475 0.136 0.626
Pr1 Pr 0.972 0.384 0.371
Th1 Th 0.301 0.548 0.865

=====

--- Q ---
# PrYErTh, optimized geometry, DFT PBE
# * space group: F-43m, No. 216
# * density: 7.9 g/cm3
data_PrYErTh
_cell_length_a 5.716
_cell_length_b 5.716
_cell_length_c 5.716
_cell_angle_alpha 60.00
_cell_angle_beta 60.00
_cell_angle_gamma 60.00
_space_group_name_H-M_alt 'P 1'
_space_group_IT_number 1
_space_group_name_Hall 'P 1'
loop_
_atom_site_label
_atom_site_type_symbol
_atom_site_fract_x
_atom_site_fract_y
_atom_site_fract_z
Th1 Th 0.250 0.250 0.250
Pr1 Pr 0.750 0.750 0.750
Er1 Er 0.500 0.500 0.500
Y1 Y 0.000 0.000 0.000

=====

Which of them is the most stable? Correct choice: P.

=====

--- P ---
# Pr4ErTl, optimized geometry, DFT PBE
# * space group: C2/c, No. 15
# * density: 7.6 g/cm3
data_Pr4ErTl
_cell_length_a 6.634
_cell_length_b 9.233
_cell_length_c 8.542
_cell_angle_alpha 112.97
_cell_angle_beta 100.33
_cell_angle_gamma 112.75
_space_group_name_H-M_alt 'P 1'
_space_group_IT_number 1
_space_group_name_Hall 'P 1'
loop_
_atom_site_label
_atom_site_type_symbol
_atom_site_fract_x
_atom_site_fract_y
_atom_site_fract_z
Pr1 Pr 0.218 0.595 0.766
Pr2 Pr 0.782 0.405 0.234
Pr3 Pr 0.640 0.093 0.381
Pr4 Pr 0.759 0.712 0.619
Pr5 Pr 0.951 0.828 0.234
Pr6 Pr 0.241 0.288 0.381
Pr7 Pr 0.049 0.172 0.766
Pr8 Pr 0.360 0.907 0.619
Er1 Er 0.660 0.410 0.820
Er2 Er 0.340 0.590 0.180
Tl1 Tl 0.251 0.001 0.002
Tl2 Tl 0.749 0.999 0.998

=====

--- Q ---
# Pr4ErTl, optimized geometry, DFT PBE
# * space group: P4/mmm, No. 123
# * density: 7.7 g/cm3
data_Pr4ErTl
_cell_length_a 3.714
_cell_length_b 3.714
_cell_length_c 14.579
_cell_angle_alpha 90.00
_cell_angle_beta 90.00
_cell_angle_gamma 90.00
_space_group_name_H-M_alt 'P 1'
_space_group_IT_number 1
_space_group_name_Hall 'P 1'
loop_
_atom_site_label
_atom_site_type_symbol
_atom_site_fract_x
_atom_site_fract_y
_atom_site_fract_z
Pr1 Pr 0.000 0.000 0.351
Pr2 Pr 0.000 0.000 0.649
Pr3 Pr 0.500 0.500 0.171
Pr4 Pr 0.500 0.500 0.829
Er1 Er 0.000 0.000 0.000
Tl1 Tl 0.500 0.500 0.500

=====

Which of them is the most stable? Correct choice: Q.